# GaHSe

A relaxed GaHSe crystal (PBE, Alexandria).

## Properties
Excess energy over the best structure of this formula in the dataset = 0.084 eV/f.u.
Size of the total moment = 0.000 μB per cell
Calculated total energy = -3.59 eV per atom
Space group = P2_1/c
Crystal system = monoclinic
Fermi-level density of states = 0.0 states/eV per cell

abc: 6.3106 6.3464 6.5809
angles: 79.46 90.00 90.00
With the nearest neighbours (Å) after each atom.
Sites, in units of the cell vectors:
Ga (0.9278, 0.2163, 0.8319)  1 H 1.55
Ga (0.4278, 0.2837, 0.1681)  1 H 1.55
Ga (0.0722, 0.7837, 0.1681)  1 H 1.55
Ga (0.5722, 0.7163, 0.8319)  1 H 1.55
H (0.5677, 0.1425, 0.3337)  1 Ga 1.55
H (0.0677, 0.3575, 0.6663)  1 Ga 1.55
H (0.4323, 0.8575, 0.6663)  1 Ga 1.55
H (0.9323, 0.6425, 0.3337)  1 Ga 1.55
Se (0.5544, 0.3287, 0.8046)  3 Ga 2.46-2.50
Se (0.0544, 0.1713, 0.1954)  3 Ga 2.46-2.50
Se (0.4456, 0.6713, 0.1954)  3 Ga 2.46-2.50
Se (0.9456, 0.8287, 0.8046)  3 Ga 2.46-2.50

---

# GaH2Se

A relaxed GaH2Se crystal (PBE, Alexandria).

## Properties
Excess energy over the best structure of this formula in the dataset = 0.000 eV/f.u.
Size of the total moment = 1.869 μB per cell
Calculated total energy = -2.88 eV per atom
Space group = Fd-3m
Crystal system = cubic
Fermi-level density of states = 2.0 states/eV per cell

abc: 5.6822 5.6822 5.6841
angles: 60.01 60.01 90.00
With the nearest neighbours (Å) after each atom.
Sites, in units of the cell vectors:
H (0.8750, 0.1250, 0.2500)  2 Se 1.74
H (0.8750, 0.6250, 0.2500)  2 Se 1.74
H (0.3750, 0.1250, 0.7500)  2 Se 1.74
H (0.8750, 0.1250, 0.7500)  2 Se 1.74
Ga (0.5000, 0.5000, 0.0000)  12 H 3.33, 4 Se 3.48, 4 Ga 3.48
Ga (0.2500, 0.7500, 0.5000)  12 H 3.33, 4 Se 3.48, 4 Ga 3.48
Se (0.0000, 0.0000, 0.0000)  4 H 1.74
Se (0.7500, 0.2500, 0.5000)  4 H 1.74

---

# Ga2SiHSe

A relaxed Ga2SiHSe crystal (PBE, Alexandria).

## Properties
Size of the total moment = 0.000 μB per cell
Calculated total energy = -3.62 eV per atom
Space group = P4/mmm
Crystal system = tetragonal
Fermi-level density of states = 0.9 states/eV per cell

abc: 4.8966 3.5532 4.8966
angles: 90.00 90.00 90.00
With the nearest neighbours (Å) after each atom.
Sites, in units of the cell vectors:
H (0.0000, 0.5000, 0.0000)  2 Si 1.78
Si (0.0000, 0.0000, 0.0000)  2 H 1.78
Ga (0.0000, 0.0000, 0.5000)  2 Si 2.45
Ga (0.5000, 0.0000, 0.0000)  2 Si 2.45
Se (0.5000, 0.5000, 0.5000)  8 Ga 3.02

---

Look up the Fermi-level density of states of the third one.
0.9 states/eV per cell

---

Which value of size of the total moment does entry 3 give?
0.000 μB per cell

---

Which formula does entry 1 have?
GaHSe

---

Repeat the third record exactly.
# Ga2SiHSe

A relaxed Ga2SiHSe crystal (PBE, Alexandria).

## Properties
Size of the total moment = 0.000 μB per cell
Calculated total energy = -3.62 eV per atom
Space group = P4/mmm
Crystal system = tetragonal
Fermi-level density of states = 0.9 states/eV per cell

abc: 4.8966 3.5532 4.8966
angles: 90.00 90.00 90.00
With the nearest neighbours (Å) after each atom.
Sites, in units of the cell vectors:
H (0.0000, 0.5000, 0.0000)  2 Si 1.78
Si (0.0000, 0.0000, 0.0000)  2 H 1.78
Ga (0.0000, 0.0000, 0.5000)  2 Si 2.45
Ga (0.5000, 0.0000, 0.0000)  2 Si 2.45
Se (0.5000, 0.5000, 0.5000)  8 Ga 3.02